First-principles (PBE-GGA) data for TiV2Ir2 after structural relaxation, as listed in Alexandria.

Properties
The calculation puts the total energy at -9.14 eV/atom. The calculation puts the calculated volume at 15.12 Å³/atom. As for the size of the total moment: 1.62 μB/cell. For the formation energy, the calculation gives -369 meV/atom.

Geometry as CIF:
```
data_TiV2Ir2
_chemical_formula_sum 'Ti2 V4 Ir4'
_space_group_name_H-M_alt 'P 4/m b m'
_space_group_IT_number 127
_space_group_name_Hall '-P 4 2ab'
_cell_length_a 7.3301
_cell_length_b 7.3301
_cell_length_c 2.8132
_cell_angle_alpha 90.00
_cell_angle_beta 90.00
_cell_angle_gamma 90.00
loop_
_atom_site_label
_atom_site_fract_x
_atom_site_fract_y
_atom_site_fract_z
_atom_site_occupancy
Ti1 0.0000 0.0000 0.0000 1
V1 0.1628 0.3372 0.5000 1
Ir1 0.1353 0.6353 0.0000 1
```



First-principles (PBE-GGA) data for TiV3Ir after structural relaxation, as listed in Alexandria.

Properties
The calculation puts the total energy at -7.90 eV/atom. The value obtained for the energy relative to the lowest polymorph listed for this composition is 0.0 kJ per mole of atoms. The calculation puts the calculated volume at 19.39 Å³/atom. As for the size of the total moment: 2.68 μB/cell. For the formation energy, the calculation gives 923 meV/atom.

Geometry as CIF:
```
data_TiV3Ir
_chemical_formula_sum 'Ti1 V3 Ir1'
_space_group_name_H-M_alt 'P m -3 m'
_space_group_IT_number 221
_space_group_name_Hall '-P 4 2 3'
_cell_length_a 4.5940
_cell_length_b 4.5940
_cell_length_c 4.5940
_cell_angle_alpha 90.00
_cell_angle_beta 90.00
_cell_angle_gamma 90.00
loop_
_atom_site_label
_atom_site_fract_x
_atom_site_fract_y
_atom_site_fract_z
_atom_site_occupancy
Ti1 0.0000 0.0000 0.0000 1
V1 0.0000 0.5000 0.5000 1
Ir1 0.5000 0.5000 0.5000 1
```



First-principles (PBE-GGA) data for TiV2Ir after structural relaxation, as listed in Alexandria.

Properties
The calculation puts the total energy at -9.08 eV/atom. The value obtained for the energy relative to the lowest polymorph listed for this composition is 7.7 kJ per mole of atoms. The calculation puts the calculated volume at 14.51 Å³/atom. As for the size of the total moment: 0.00 μB/cell. For the formation energy, the calculation gives -327 meV/atom.

Geometry as CIF:
```
data_TiV2Ir
_chemical_formula_sum 'Ti1 V2 Ir1'
_space_group_name_H-M_alt 'P 4/m m m'
_space_group_IT_number 123
_space_group_name_Hall '-P 4 2'
_cell_length_a 3.6230
_cell_length_b 3.6230
_cell_length_c 4.4206
_cell_angle_alpha 90.00
_cell_angle_beta 90.00
_cell_angle_gamma 90.00
loop_
_atom_site_label
_atom_site_fract_x
_atom_site_fract_y
_atom_site_fract_z
_atom_site_occupancy
Ti1 0.0000 0.0000 0.0000 1
V1 0.0000 0.5000 0.5000 1
Ir1 0.5000 0.5000 0.0000 1
```



First-principles (PBE-GGA) data for TiVIrW after structural relaxation, as listed in Alexandria.

Properties
The calculation puts the total energy at -10.13 eV/atom. The calculation puts the calculated volume at 14.76 Å³/atom. As for the size of the total moment: 0.00 μB/cell. For the formation energy, the calculation gives -425 meV/atom.

Geometry as CIF:
```
data_TiVIrW
_chemical_formula_sum 'Ti4 V4 Ir4 W4'
_space_group_name_H-M_alt 'F -4 3 m'
_space_group_IT_number 216
_space_group_name_Hall 'F -4 2 3'
_cell_length_a 6.1818
_cell_length_b 6.1818
_cell_length_c 6.1818
_cell_angle_alpha 90.00
_cell_angle_beta 90.00
_cell_angle_gamma 90.00
loop_
_atom_site_label
_atom_site_fract_x
_atom_site_fract_y
_atom_site_fract_z
_atom_site_occupancy
Ti1 0.0000 0.0000 0.0000 1
V1 0.0000 0.0000 0.5000 1
Ir1 0.2500 0.2500 0.7500 1
W1 0.2500 0.2500 0.2500 1
```



First-principles (PBE-GGA) data for YTi2VIr after structural relaxation, as listed in Alexandria.

Properties
The calculation puts the total energy at -7.80 eV/atom. The calculation puts the calculated volume at 21.79 Å³/atom. As for the size of the total moment: 0.00 μB/cell. For the formation energy, the calculation gives 244 meV/atom.

Geometry as CIF:
```
data_YTi2VIr
_chemical_formula_sum 'Y1 Ti2 V1 Ir1'
_space_group_name_H-M_alt 'P 4/m m m'
_space_group_IT_number 123
_space_group_name_Hall '-P 4 2'
_cell_length_a 4.7908
_cell_length_b 4.7908
_cell_length_c 4.7459
_cell_angle_alpha 90.00
_cell_angle_beta 90.00
_cell_angle_gamma 90.00
loop_
_atom_site_label
_atom_site_fract_x
_atom_site_fract_y
_atom_site_fract_z
_atom_site_occupancy
Y1 0.0000 0.0000 0.0000 1
Ti1 0.0000 0.5000 0.5000 1
V1 0.5000 0.5000 0.0000 1
Ir1 0.5000 0.5000 0.5000 1
```



First-principles (PBE-GGA) data for Ti2IrW after structural relaxation, as listed in Alexandria.

Properties
The calculation puts the total energy at -9.92 eV/atom. The value obtained for the energy relative to the lowest polymorph listed for this composition is 0.0 kJ per mole of atoms. The calculation puts the calculated volume at 15.45 Å³/atom. As for the size of the total moment: 0.00 μB/cell. For the formation energy, the calculation gives -517 meV/atom.

Geometry as CIF:
```
data_Ti2IrW
_chemical_formula_sum 'Ti2 Ir1 W1'
_space_group_name_H-M_alt 'P 4/m m m'
_space_group_IT_number 123
_space_group_name_Hall '-P 4 2'
_cell_length_a 3.1213
_cell_length_b 3.1213
_cell_length_c 6.3423
_cell_angle_alpha 90.00
_cell_angle_beta 90.00
_cell_angle_gamma 90.00
loop_
_atom_site_label
_atom_site_fract_x
_atom_site_fract_y
_atom_site_fract_z
_atom_site_occupancy
Ti1 0.0000 0.0000 0.2486 1
Ir1 0.5000 0.5000 0.5000 1
W1 0.5000 0.5000 0.0000 1
```



What is the calculated volume in the first record? 15.12 Å³/atom



formation energy of number 4 (TiVIrW)? -425 meV/atom



What is the size of the total moment in the fourth record? 0.00 μB/cell



Please write out number 4 again, unchanged.
First-principles (PBE-GGA) data for TiVIrW after structural relaxation, as listed in Alexandria.

Properties
The calculation puts the total energy at -10.13 eV/atom. The calculation puts the calculated volume at 14.76 Å³/atom. As for the size of the total moment: 0.00 μB/cell. For the formation energy, the calculation gives -425 meV/atom.

Geometry as CIF:
```
data_TiVIrW
_chemical_formula_sum 'Ti4 V4 Ir4 W4'
_space_group_name_H-M_alt 'F -4 3 m'
_space_group_IT_number 216
_space_group_name_Hall 'F -4 2 3'
_cell_length_a 6.1818
_cell_length_b 6.1818
_cell_length_c 6.1818
_cell_angle_alpha 90.00
_cell_angle_beta 90.00
_cell_angle_gamma 90.00
loop_
_atom_site_label
_atom_site_fract_x
_atom_site_fract_y
_atom_site_fract_z
_atom_site_occupancy
Ti1 0.0000 0.0000 0.0000 1
V1 0.0000 0.0000 0.5000 1
Ir1 0.2500 0.2500 0.7500 1
W1 0.2500 0.2500 0.2500 1
```